Crystalline ScVP2Os at its relaxed geometry, computed with PBE.

Summary:
DOS(E_F)   3.57 states/eV/f.u.
SG   P4/mmm
Energy of formation   0.33 eV/atom
Crystal system   tetragonal

Geometry as POSCAR:
```
ScVP2Os
1.0
-3.192 -0.880 -2.907
0.104 -4.519 1.254
-3.036 0.789 3.094
V P Os Sc
1 2 1 1
direct
0.000 0.000 0.000
0.000 0.000 0.500
0.500 0.000 0.000
0.000 0.500 0.000
0.500 0.500 0.500
```